Density functional theory data (PBE) for an optimized crystal structure of CoSi2Ag.

Calculated values
For the spin magnetization, the calculation gives 0.715 μB/f.u. The calculated total energy is -4.94 eV per atom. The calculation puts the uncorrected formation energy at 0.260 eV per atom.

abc: 4.736 4.736 4.736
angles: 133.68 133.68 67.59
Site moments in Bohr magnetons follow the coordinates.
Sites, in units of the cell vectors:
Si: 0.250 0.750 0.500  0.03
Co: 0.750 0.250 0.500  0.66
Si: 0.000 0.000 0.000  0.02
Ag: 0.500 0.500 0.000  0.00